No. 1
A plane-wave DFT calculation with PBE was carried out for a geometry-optimized MnAs2Br structure.

a b c (Å): 6.000 6.000 3.104
angles (deg): 90.00 90.00 130.01
Last column: magnetic moment on the atom in μB.
Sites, in units of the cell vectors:
Br: 0.500 0.000 0.500  0.02
As: 0.500 0.500 0.000  -0.06
As: 0.000 0.000 0.000  -0.06
Mn: 0.000 0.500 0.500  3.96

Results
E in hartree per atom: -0.16763
Uncorrected formation energy in eV/atom: 0.474
Total magnetic moment in μB per formula unit: 3.95

---

No. 2
A plane-wave DFT calculation with PBE was carried out for a geometry-optimized MnAs2Br structure.

a b c (Å): 4.798 4.798 4.798
angles (deg): 60.00 60.00 60.00
Last column: magnetic moment on the atom in μB.
Sites, in units of the cell vectors:
As: 0.250 0.250 0.250  0.15
Br: 0.500 0.500 0.500  0.05
Mn: 0.000 0.000 0.000  -3.69
As: 0.750 0.750 0.750  0.15

Results
E in hartree per atom: -0.16069
Uncorrected formation energy in eV/atom: 0.663
Total magnetic moment in μB per formula unit: 3.30

---

No. 3
A plane-wave DFT calculation with PBE was carried out for a geometry-optimized MnAs2Br structure.

a b c (Å): 3.898 3.898 8.912
angles (deg): 90.00 90.00 125.36
Last column: magnetic moment on the atom in μB.
Sites, in units of the cell vectors:
As: 0.500 0.500 0.168  -0.04
Br: 0.000 0.000 0.572  0.09
As: 0.000 0.000 0.986  0.00
Mn: 0.500 0.500 0.774  4.12

Results
E in hartree per atom: -0.17919
Uncorrected formation energy in eV/atom: 0.159
Total magnetic moment in μB per formula unit: 4.39

---

Question: The lowest uncorrected formation energy belongs to which entry?
Answer: number 3

---

Question: Which value of uncorrected formation energy does entry 3 give?
Answer: 0.159 eV/atom

---

Question: Which formula does entry 2 have?
Answer: MnAs2Br